K4Dy3AlSe8, relaxed, DFT GGA-PBE; formation energy without anion corrections = -1.5390 eV/atom
1.0
4.1379 2.3890 7.6730
-4.1379 2.3890 7.6730
0.0000 -4.7781 7.6730
K Dy Al Se
4 3 1 8
Direct
0.0000 0.0000 0.0000
0.0000 0.5000 0.5000
0.5000 0.0000 0.5000
0.5000 0.5000 0.0000
0.0000 0.0000 0.5000
0.0000 0.5000 0.0000
0.5000 0.0000 0.0000
0.5000 0.5000 0.5000
0.2357 0.2357 0.2357
0.2532 0.7216 0.7216
0.2784 0.2784 0.7468
0.2784 0.7468 0.2784
0.7216 0.2532 0.7216
0.7216 0.7216 0.2532
0.7468 0.2784 0.2784
0.7643 0.7643 0.7643

***

K3Dy3AlTe8, relaxed, DFT GGA-PBE; formation energy without anion corrections = -1.1103 eV/atom
1.0
7.5019 -4.3348 0.0000
7.5019 4.3348 0.0000
-4.9987 0.0000 8.5771
K Dy Al Te
3 3 1 8
Direct
0.0000 0.0000 0.0000
0.0000 0.5000 0.0000
0.5000 0.0000 0.0000
0.0000 0.5000 0.5000
0.5000 0.0000 0.5000
0.5000 0.5000 0.5000
0.0000 0.0000 0.5000
0.2219 0.2219 0.6965
0.2216 0.7530 0.6962
0.2470 0.7784 0.3038
0.2632 0.2632 0.2896
0.7368 0.7368 0.7104
0.7530 0.2216 0.6962
0.7784 0.2470 0.3038
0.7781 0.7781 0.3035

***

# LaDyAl3

A relaxed LaDyAl3 crystal (GGA-PBE, Alexandria).

Geometry as POSCAR:
```
LaDyAl3
1.0
2.1338 -13.4400 0.0000
2.1338 13.4400 0.0000
0.0000 0.0000 4.4058
La Dy Al
2 2 6
Direct
0.0744 0.9256 0.7500
0.9256 0.0744 0.2500
0.2064 0.7936 0.2500
0.7936 0.2064 0.7500
0.3239 0.6761 0.2500
0.3783 0.6217 0.7500
0.4755 0.5245 0.7500
0.5245 0.4755 0.2500
0.6217 0.3783 0.2500
0.6761 0.3239 0.7500
```

***

# LaDy3Al4

A relaxed LaDy3Al4 crystal (GGA-PBE, Alexandria).

Geometry as POSCAR:
```
LaDy3Al4
1.0
5.1597 0.0000 0.0000
0.0000 5.1597 0.0000
0.0000 0.0000 7.3263
La Dy Al
1 3 4
Direct
0.0000 0.0000 0.0000
0.0000 0.0000 0.5000
0.5000 0.5000 0.0000
0.5000 0.5000 0.5000
0.0000 0.5000 0.2622
0.0000 0.5000 0.7378
0.5000 0.0000 0.2622
0.5000 0.0000 0.7378
```

***

# La2DyAl9

A relaxed La2DyAl9 crystal (GGA-PBE, Alexandria).

Geometry as POSCAR:
```
La2DyAl9
1.0
2.8385 1.6388 8.9288
-2.8385 1.6388 8.9288
0.0000 -3.2777 8.9288
La Dy Al
2 1 9
Direct
0.1418 0.1418 0.1418
0.8582 0.8582 0.8582
0.0000 0.0000 0.0000
0.0747 0.5841 0.5841
0.3349 0.3349 0.3349
0.4159 0.4159 0.9253
0.4159 0.9253 0.4159
0.5000 0.5000 0.5000
0.5841 0.0747 0.5841
0.5841 0.5841 0.0747
0.6651 0.6651 0.6651
0.9253 0.4159 0.4159
```

***

# LaDy4Al

A relaxed LaDy4Al crystal (GGA-PBE, Alexandria).

Geometry as POSCAR:
```
LaDy4Al
1.0
3.5948 0.0000 0.0000
0.0000 3.5948 0.0000
0.0000 0.0000 13.8848
La Dy Al
1 4 1
Direct
0.0000 0.0000 0.0000
0.0000 0.0000 0.3674
0.0000 0.0000 0.6326
0.5000 0.5000 0.1861
0.5000 0.5000 0.8139
0.5000 0.5000 0.5000
```

***

no.,electronic total energy (eV per atom)
1,-4.652
2,-4.175
3,-4.574
4,-4.592
5,-4.361
6,-4.620